(1)
Compound: AlRhPb2
Source: Alexandria
Functional: GGA-PBEsol
Structure: optimized geometry

Its energy of formation from the pure elements is 91 kJ/mol of formula units. The value obtained for the spin magnetization is 0.00 μB per cell. The total energy is -4.821 eV/atom.

The structure belongs to space group C2/m (No. 12); the cell edges are 8.884, 3.404 and 5.801 Å and the angles 90.00°, 104.46° and 90.00°. The distinct sites, in fractional coordinates, are Al at (0.000, 0.000, 0.000), Rh at (0.000, 0.500, 0.500) and Pb at (0.239, 0.000, 0.731).

***

(2)
Compound: La2Mn2N
Source: Alexandria
Functional: GGA-PBEsol
Structure: optimized geometry

The raw formation energy is -0.086 eV per atom. The value obtained for the spin magnetization is 0.00 μB per cell. The total energy is -7.834 eV/atom.

The structure belongs to space group I4/mmm (No. 139); the cell edges are 3.190, 3.190 and 16.347 Å and the angles 90.00°, 90.00° and 90.00°. The distinct sites, in fractional coordinates, are La at (0.000, 0.000, 0.090), Mn at (0.000, 0.500, 0.250) and N at (0.000, 0.000, 0.500).

***

(3)
Compound: YSc2Re
Source: Alexandria
Functional: GGA-PBEsol
Structure: optimized geometry

Its energy of formation from the pure elements is 57 kJ/mol of formula units. The value obtained for the spin magnetization is 0.00 μB per cell. As for the energy relative to the lowest polymorph listed for this composition: 43 meV/atom. The total energy is -8.192 eV/atom.

The structure belongs to space group Fm-3m (No. 225); the cell edges are 6.842, 6.842 and 6.842 Å and the angles 90.00°, 90.00° and 90.00°. The distinct sites, in fractional coordinates, are Y at (0.000, 0.000, 0.000), Sc at (0.250, 0.250, 0.250) and Re at (0.000, 0.000, 0.500).

***

(4)
Compound: Y2FePt
Source: Alexandria
Functional: GGA-PBEsol
Structure: optimized geometry

Its energy of formation from the pure elements is -134 kJ/mol of formula units. The value obtained for the spin magnetization is 3.31 μB per cell. The total energy is -7.739 eV/atom.

The structure belongs to space group Imm2 (No. 44); the cell edges are 3.464, 4.414 and 10.700 Å and the angles 90.00°, 90.00° and 90.00°. The distinct sites, in fractional coordinates, are Y at (0.000, 0.000, 0.000), Y at (0.000, 0.500, 0.220), Fe at (0.000, 0.000, 0.447) and Pt at (0.000, 0.500, 0.776).

***

(5)
Compound: Li6SbS2
Source: Alexandria
Functional: GGA-PBEsol
Structure: optimized geometry

The raw formation energy is -1.018 eV per atom. The value obtained for the spin magnetization is 0.00 μB per cell. As for the energy relative to the lowest polymorph listed for this composition: 10 meV/atom. The total energy is -3.809 eV/atom.

The structure belongs to space group P2_1/c (No. 14); the cell edges are 5.821, 5.848 and 18.731 Å and the angles 90.00°, 107.36° and 90.00°. The distinct sites, in fractional coordinates, are Li at (0.027, 0.123, 0.440), Li at (0.089, 0.122, 0.828), Li at (0.089, 0.630, 0.823), Li at (0.434, 0.633, 0.668), Li at (0.448, 0.122, 0.673), Li at (0.448, 0.730, 0.972), Sb at (0.080, 0.130, 0.068), S at (0.248, 0.615, 0.245) and S at (0.381, 0.120, 0.399).

***

(6)
Compound: ScP2Pt
Source: Alexandria
Functional: GGA-PBEsol
Structure: optimized geometry

Its energy of formation from the pure elements is -250 kJ/mol of formula units. The value obtained for the spin magnetization is 0.00 μB per cell. As for the energy relative to the lowest polymorph listed for this composition: 145 meV/atom. The total energy is -6.935 eV/atom.

The structure belongs to space group Immm (No. 71); the cell edges are 3.967, 5.148 and 6.295 Å and the angles 90.00°, 90.00° and 90.00°. The distinct sites, in fractional coordinates, are Sc at (0.000, 0.000, 0.000), P at (0.000, 0.500, 0.204) and Pt at (0.000, 0.000, 0.500).

***

(7)
Compound: ZrCuCl2
Source: Alexandria
Functional: GGA-PBEsol
Structure: optimized geometry

The raw formation energy is -0.435 eV per atom. The value obtained for the spin magnetization is 0.00 μB per cell. As for the energy relative to the lowest polymorph listed for this composition: 0 meV/atom. The total energy is -4.795 eV/atom.

The structure belongs to space group I4/mmm (No. 139); the cell edges are 4.126, 4.126 and 7.617 Å and the angles 90.00°, 90.00° and 90.00°. The distinct sites, in fractional coordinates, are Zr at (0.000, 0.000, 0.000), Cu at (0.000, 0.000, 0.500) and Cl at (0.000, 0.500, 0.250).

***

(8)
Compound: MnFe2Co
Source: Alexandria
Functional: GGA-PBEsol
Structure: optimized geometry

Its energy of formation from the pure elements is 6 kJ/mol of formula units. The value obtained for the spin magnetization is 4.00 μB per cell. The total energy is -8.840 eV/atom.

The structure belongs to space group I4/mmm (No. 139); the cell edges are 3.465, 3.465 and 6.981 Å and the angles 90.00°, 90.00° and 90.00°. The distinct sites, in fractional coordinates, are Mn at (0.000, 0.000, 0.000), Fe at (0.000, 0.500, 0.250) and Co at (0.000, 0.000, 0.500).

***

(9)
Compound: HgAsBr2
Source: Alexandria
Functional: GGA-PBEsol
Structure: optimized geometry

The raw formation energy is 0.139 eV per atom. The value obtained for the spin magnetization is 0.00 μB per cell. The total energy is -2.214 eV/atom.

The structure belongs to space group R-3m (No. 166, hexagonal axes); the cell edges are 3.4858, 3.4858 and 27.7703 Å and the angles 90.00°, 90.00° and 120.00°. The distinct sites, in fractional coordinates, are Hg at (0.0000, 0.0000, 0.0000), As at (0.0000, 0.0000, 0.5000) and Br at (0.0000, 0.0000, 0.2391).

***

(10)
Compound: ReTc7
Source: Alexandria
Functional: GGA-PBEsol
Structure: optimized geometry

Its energy of formation from the pure elements is 55 kJ/mol of formula units. The value obtained for the spin magnetization is 0.00 μB per cell. The total energy is -11.454 eV/atom.

The structure belongs to space group Fm-3m (No. 225); the cell edges are 7.670, 7.670 and 7.670 Å and the angles 90.00°, 90.00° and 90.00°. The distinct sites, in fractional coordinates, are Re at (0.000, 0.000, 0.000), Tc at (0.000, 0.000, 0.500) and Tc at (0.000, 0.250, 0.250).

***

(11)
Compound: In2OsCl
Source: Alexandria
Functional: GGA-PBEsol
Structure: optimized geometry

The raw formation energy is 0.233 eV per atom. The value obtained for the spin magnetization is 0.00 μB per cell. The total energy is -4.814 eV/atom.

The structure belongs to space group Pmmm (No. 47); the cell edges are 2.909, 4.892 and 5.514 Å and the angles 90.00°, 90.00° and 90.00°. The distinct sites, in fractional coordinates, are In at (0.000, 0.000, 0.000), In at (0.500, 0.500, 0.500), Os at (0.000, 0.000, 0.500) and Cl at (0.500, 0.500, 0.000).

***

(12)
Compound: KCd2Au
Source: Alexandria
Functional: GGA-PBEsol
Structure: optimized geometry

Its energy of formation from the pure elements is -6 kJ/mol of formula units. The value obtained for the spin magnetization is 0.00 μB per cell. The total energy is -1.878 eV/atom.

The structure belongs to space group Pm (No. 6); the cell edges are 3.746, 4.532 and 6.760 Å and the angles 90.00°, 105.86° and 90.00°. The distinct sites, in fractional coordinates, are K at (0.000, 0.000, 0.000), Cd at (0.289, 0.500, 0.586), Cd at (0.741, 0.000, 0.489) and Au at (0.620, 0.500, 0.244).

***

> Number 4 is which compound?

Y2FePt